# PmYIn2 PBEsol relaxed
# - total moment (μB/atom) = 0.000
# - DFT formation energy (eV per atom) = -0.5493
# - raw total energy (eV for the cell shown) = -20.12
data_PmYIn2
_chemical_formula_sum 'Pm1 Y1 In2'
_symmetry_space_group_name_H-M 'P 1'
_symmetry_Int_Tables_number 1
_cell_length_a 5.288
_cell_length_b 5.288
_cell_length_c 5.288
_cell_angle_alpha 60.00
_cell_angle_beta 60.00
_cell_angle_gamma 60.00
loop_
_symmetry_equiv_pos_as_xyz
'x,y,z'
loop_
_atom_site_label
_atom_site_fract_x
_atom_site_fract_y
_atom_site_fract_z
_atom_site_occupancy
Pm1 0.000 0.000 0.000 1
Y1 0.500 0.500 0.500 1
In1 0.250 0.250 0.250 1
In2 0.750 0.750 0.750 1

=====

# Li3GdO3 PBEsol relaxed
# - total moment (μB/atom) = 1.000
# - raw formation energy (eV per formula unit) = -16.79
# - raw total energy (eV for the cell shown) = -211.53
data_Li3GdO3
_chemical_formula_sum 'Li12 Gd4 O12'
_symmetry_space_group_name_H-M 'P 1'
_symmetry_Int_Tables_number 1
_cell_length_a 5.819
_cell_length_b 5.819
_cell_length_c 10.651
_cell_angle_alpha 90.00
_cell_angle_beta 90.00
_cell_angle_gamma 120.00
loop_
_symmetry_equiv_pos_as_xyz
'x,y,z'
loop_
_atom_site_label
_atom_site_fract_x
_atom_site_fract_y
_atom_site_fract_z
_atom_site_occupancy
Li1 0.056 0.370 0.437 1
Li2 0.056 0.687 0.063 1
Li3 0.313 0.370 0.063 1
Li4 0.313 0.944 0.437 1
Li5 0.370 0.056 0.937 1
Li6 0.370 0.313 0.563 1
Li7 0.630 0.687 0.437 1
Li8 0.630 0.944 0.063 1
Li9 0.687 0.056 0.563 1
Li10 0.687 0.630 0.937 1
Li11 0.944 0.313 0.937 1
Li12 0.944 0.630 0.563 1
Gd1 0.000 0.000 0.250 1
Gd2 0.000 0.000 0.750 1
Gd3 0.333 0.667 0.750 1
Gd4 0.667 0.333 0.250 1
O1 0.040 0.336 0.619 1
O2 0.040 0.703 0.881 1
O3 0.297 0.336 0.881 1
O4 0.297 0.960 0.619 1
O5 0.336 0.040 0.119 1
O6 0.336 0.297 0.381 1
O7 0.664 0.703 0.619 1
O8 0.664 0.960 0.881 1
O9 0.703 0.040 0.381 1
O10 0.703 0.664 0.119 1
O11 0.960 0.297 0.119 1
O12 0.960 0.664 0.381 1